Record 1
DFT (PBE-GGA) results for PrCd2Hg after structural relaxation.

Properties
Energy above the lowest structure with this stoichiometry (kJ/mol of formula units): 62
Energy of formation (eV per atom): -0.193
D(E_F) (states/eV/cell): 3.0
Crystal system: tetragonal

The structure in POSCAR format:
```
PrCd2Hg
1.0
3.745 0.000 0.000
0.000 3.745 0.000
0.000 0.000 7.404
Cd Pr Hg
2 1 1
direct
0.000 0.000 0.778
0.000 0.000 0.222
0.500 0.500 0.500
0.500 0.500 0.000
```



Record 2
DFT (PBE-GGA) results for Rb2NaYF6 after structural relaxation.

Properties
Formation energy without anion corrections (meV/atom): -3327
D(E_F) (states/eV/cell): 0.0
Crystal system: monoclinic

The structure in POSCAR format:
```
Rb2NaYF6
1.0
-3.414 2.115 4.948
4.160 -2.649 4.003
4.793 7.617 0.059
F Rb Na Y
12 4 2 2
direct
0.458 0.994 0.742
0.237 0.220 0.479
0.719 0.264 0.522
0.042 0.494 0.758
0.281 0.736 0.478
0.737 0.280 0.979
0.542 0.006 0.258
0.781 0.764 0.978
0.263 0.720 0.021
0.219 0.236 0.022
0.958 0.506 0.242
0.763 0.780 0.521
0.998 0.012 0.750
0.502 0.512 0.750
0.002 0.988 0.250
0.498 0.488 0.250
0.000 0.500 0.500
0.500 0.000 0.000
0.000 0.500 0.000
0.500 0.000 0.500
```



Record 3
DFT (PBE-GGA) results for Sr4Pa3N8 after structural relaxation.

Properties
Formation energy without anion corrections (meV/atom): -1156
D(E_F) (states/eV/cell): 12.3
Crystal system: trigonal

The structure in POSCAR format:
```
Sr4Pa3N8
1.0
6.314 0.000 3.405
2.239 5.904 3.405
0.003 0.002 7.551
Sr N Pa
4 8 3
direct
0.347 0.347 0.960
0.653 0.653 0.040
0.000 0.000 0.000
0.500 0.500 0.500
0.254 0.800 0.692
0.200 0.746 0.308
0.800 0.254 0.692
0.220 0.220 0.340
0.746 0.200 0.308
0.780 0.780 0.660
0.254 0.254 0.692
0.746 0.746 0.308
0.500 0.000 0.500
0.000 0.500 0.500
0.000 0.000 0.500
```



Record 4
DFT (PBE-GGA) results for Nd4Te2OsBr after structural relaxation.

Properties
Formation energy without anion corrections (meV/atom): -996
D(E_F) (states/eV/cell): 6.2
Crystal system: monoclinic

The structure in POSCAR format:
```
Nd4Te2OsBr
1.0
-2.772 -0.751 -3.171
-2.564 -6.304 3.734
-5.818 2.259 4.550
Nd Os Br Te
4 1 1 2
direct
0.500 0.288 0.712
0.000 0.729 0.722
0.500 0.712 0.288
0.000 0.271 0.278
0.000 0.500 0.500
0.500 0.500 0.000
0.500 0.000 0.500
0.000 0.000 0.000
```



Q: Which value of D(E_F) does entry 4 give?
A: 6.2 states/eV/cell



Q: Look up the D(E_F) of the fourth one.
A: 6.2 states/eV/cell